No. 1
Compound: PrH7Ru2
Source: Alexandria
Functional: PBE
Structure: relaxed

```
PrH7Ru2
1.0
2.649 -4.727 0.000
2.649 4.727 0.000
0.000 0.000 3.350
Pr H Ru
1 7 2
Direct
0.000 0.000 0.000
0.026 0.330 0.500
0.330 0.026 0.500
0.373 0.627 0.000
0.500 0.500 0.500
0.627 0.373 0.000
0.670 0.974 0.500
0.974 0.670 0.500
0.318 0.682 0.500
0.682 0.318 0.500
```

M_tot, μB/atom: 0.00
Crystal system: orthorhombic
Fermi-level density of states, states/eV per cell: 3.68
Total energy, Ry/atom: -0.357

=====

No. 2
Compound: Nd12Tm7In
Source: Alexandria
Functional: PBE
Structure: relaxed

```
Nd12Tm7In
1.0
7.501 4.331 3.401
-7.501 4.331 3.401
0.000 -8.661 3.401
Nd Tm In
12 7 1
Direct
0.063 0.291 0.396
0.218 0.679 0.382
0.291 0.396 0.063
0.321 0.618 0.782
0.382 0.218 0.679
0.396 0.063 0.291
0.604 0.937 0.709
0.618 0.782 0.321
0.679 0.382 0.218
0.709 0.604 0.937
0.782 0.321 0.618
0.937 0.709 0.604
0.005 0.898 0.312
0.102 0.688 0.995
0.312 0.005 0.898
0.500 0.500 0.500
0.688 0.995 0.102
0.898 0.312 0.005
0.995 0.102 0.688
0.000 0.000 0.000
```

M_tot, μB/atom: 0.00
Energy of formation, eV per atom: 0.09
Crystal system: trigonal
Polymorph energy (0 for the lowest one), meV/atom: 0
Fermi-level density of states, states/eV per cell: 33.00

=====

No. 3
Compound: Cs2LiLuCl6
Source: Alexandria
Functional: PBE
Structure: relaxed

```
Cs2LiLuCl6
1.0
0.000 5.267 5.267
5.267 0.000 5.267
5.267 5.267 0.000
Cs Li Lu Cl
2 1 1 6
Direct
0.250 0.250 0.250
0.750 0.750 0.750
0.000 0.000 0.000
0.500 0.500 0.500
0.254 0.254 0.746
0.254 0.746 0.254
0.254 0.746 0.746
0.746 0.254 0.254
0.746 0.254 0.746
0.746 0.746 0.254
```

M_tot, μB/atom: 0.00
Crystal system: cubic
Fermi-level density of states, states/eV per cell: 0.00
Energy relative to the elements, uncorrected, eV/atom: -2.130

=====

No. 4
Compound: Rb2Ga12Au7
Source: Alexandria
Functional: PBE
Structure: relaxed

```
Rb2Ga12Au7
1.0
10.728 0.000 0.000
-5.364 9.290 0.000
0.000 0.000 4.473
Rb Ga Au
2 12 7
Direct
0.333 0.667 0.253
0.667 0.333 0.747
0.063 0.438 0.744
0.128 0.868 0.252
0.132 0.260 0.252
0.260 0.128 0.748
0.375 0.937 0.744
0.438 0.375 0.256
0.562 0.625 0.744
0.625 0.063 0.256
0.740 0.872 0.252
0.868 0.740 0.748
0.872 0.132 0.748
0.937 0.562 0.256
0.000 0.000 0.500
0.098 0.704 0.760
0.296 0.394 0.760
0.394 0.098 0.240
0.606 0.902 0.760
0.704 0.606 0.240
0.902 0.296 0.240
```

M_tot, μB/atom: 0.00
Energy of formation, eV per atom: -0.22
Crystal system: trigonal
Fermi-level density of states, states/eV per cell: 7.55

=====

No. 5
Compound: ScRu2Pt2
Source: Alexandria
Functional: PBE
Structure: relaxed

```
ScRu2Pt2
1.0
6.904 0.000 0.000
0.000 6.904 0.000
0.000 0.000 3.469
Sc Ru Pt
2 4 4
Direct
0.000 0.000 0.000
0.500 0.500 0.000
0.127 0.373 0.000
0.373 0.873 0.000
0.627 0.127 0.000
0.873 0.627 0.000
0.174 0.674 0.500
0.326 0.174 0.500
0.674 0.826 0.500
0.826 0.326 0.500
```

M_tot, μB/atom: 0.00
Energy of formation, eV per atom: -0.18
Crystal system: tetragonal
Polymorph energy (0 for the lowest one), meV/atom: 0
Fermi-level density of states, states/eV per cell: 10.27

=====

No. 6
Compound: Ba3Pm3ErSe8
Source: Alexandria
Functional: PBE
Structure: relaxed

```
Ba3Pm3ErSe8
1.0
4.288 2.476 7.561
-4.288 2.476 7.561
0.000 -4.952 7.561
Ba Pm Er Se
3 3 1 8
Direct
0.000 0.500 0.500
0.500 0.000 0.500
0.500 0.500 0.000
0.000 0.000 0.500
0.000 0.500 0.000
0.500 0.000 0.000
0.500 0.500 0.500
0.240 0.240 0.240
0.246 0.734 0.734
0.266 0.266 0.754
0.266 0.754 0.266
0.734 0.246 0.734
0.734 0.734 0.246
0.754 0.266 0.266
0.760 0.760 0.760
```

M_tot, μB/atom: 0.00
Crystal system: trigonal
Fermi-level density of states, states/eV per cell: 3.61
Energy relative to the elements, uncorrected, eV/atom: -1.937

=====

No. 7
Compound: Nd3Sm3Ni4
Source: Alexandria
Functional: PBE
Structure: relaxed

```
Nd3Sm3Ni4
1.0
3.893 0.000 0.000
0.000 5.489 5.514
0.000 -5.489 5.514
Nd Sm Ni
3 3 4
Direct
0.000 0.000 0.000
0.500 0.338 0.838
0.500 0.838 0.338
0.000 0.173 0.502
0.000 0.502 0.173
0.000 0.670 0.670
0.500 0.221 0.221
0.500 0.455 0.455
0.500 0.715 0.952
0.500 0.952 0.715
```

M_tot, μB/atom: 0.00
Energy of formation, eV per atom: -0.23
Crystal system: orthorhombic
Fermi-level density of states, states/eV per cell: 8.73

=====

No. 8
Compound: NaGdAgAu
Source: Alexandria
Functional: PBE
Structure: relaxed

```
NaGdAgAu
1.0
0.000 3.579 3.579
3.579 0.000 3.579
3.579 3.579 0.000
Na Gd Ag Au
1 1 1 1
Direct
0.000 0.000 0.000
0.500 0.500 0.500
0.250 0.250 0.250
0.750 0.750 0.750
```

M_tot, μB/atom: 1.81
Energy of formation, eV per atom: -0.35
Crystal system: cubic
Fermi-level density of states, states/eV per cell: 4.04

=====

No. 9
Compound: KSrNpF6
Source: Alexandria
Functional: PBE
Structure: relaxed

```
KSrNpF6
1.0
6.528 0.000 0.000
-3.264 5.654 0.000
0.000 0.000 10.012
K Sr Np F
2 2 2 12
Direct
0.000 0.000 0.000
0.000 0.000 0.500
0.333 0.667 0.250
0.667 0.333 0.750
0.333 0.667 0.750
0.667 0.333 0.250
0.016 0.371 0.636
0.016 0.645 0.864
0.355 0.371 0.864
0.355 0.984 0.636
0.371 0.016 0.136
0.371 0.355 0.364
0.629 0.645 0.636
0.629 0.984 0.864
0.645 0.016 0.364
0.645 0.629 0.136
0.984 0.355 0.136
0.984 0.629 0.364
```

M_tot, μB/atom: 0.44
Crystal system: trigonal
Fermi-level density of states, states/eV per cell: 6.21
Energy relative to the elements, uncorrected, eV/atom: -3.401

=====

No. 10
Compound: RbPrAg2Br6
Source: Alexandria
Functional: PBE
Structure: relaxed

```
RbPrAg2Br6
1.0
3.916 2.261 6.945
-3.916 2.261 6.945
0.000 -4.522 6.945
Rb Pr Ag Br
1 1 2 6
Direct
0.000 0.000 0.000
0.506 0.506 0.506
0.304 0.304 0.304
0.751 0.751 0.751
0.108 0.448 0.668
0.263 0.909 0.541
0.448 0.668 0.108
0.541 0.263 0.909
0.668 0.108 0.448
0.909 0.541 0.263
```

M_tot, μB/atom: 0.00
Crystal system: trigonal
Fermi-level density of states, states/eV per cell: 0.00
Energy relative to the elements, uncorrected, eV/atom: -1.214

=====

No. 11
Compound: La3Ho2ErBi6
Source: Alexandria
Functional: PBE
Structure: relaxed

```
La3Ho2ErBi6
1.0
3.977 -6.886 0.000
3.977 6.886 0.000
-2.649 0.000 7.452
La Ho Er Bi
3 2 1 6
Direct
0.000 0.000 0.000
0.333 0.667 0.000
0.667 0.333 0.000
0.166 0.834 0.500
0.834 0.166 0.500
0.500 0.500 0.500
0.089 0.422 0.264
0.246 0.246 0.736
0.422 0.089 0.264
0.578 0.911 0.736
0.754 0.754 0.264
0.911 0.578 0.736
```

M_tot, μB/atom: 0.00
Energy of formation, eV per atom: -0.94
Crystal system: monoclinic
Fermi-level density of states, states/eV per cell: 2.33

=====

No. 12
Compound: ErTePd5
Source: Alexandria
Functional: PBE
Structure: relaxed

```
ErTePd5
1.0
4.167 0.000 0.000
0.000 4.167 0.000
0.000 0.000 7.481
Er Te Pd
1 1 5
Direct
0.000 0.000 0.000
0.500 0.500 0.500
0.000 0.500 0.270
0.000 0.500 0.730
0.500 0.000 0.270
0.500 0.000 0.730
0.500 0.500 0.000
```

M_tot, μB/atom: 0.00
Crystal system: tetragonal
Fermi-level density of states, states/eV per cell: 2.92
Energy relative to the elements, uncorrected, eV/atom: -0.650

=====

No. 13
Compound: Na2Ac3Tl4
Source: Alexandria
Functional: PBE
Structure: relaxed

```
Na2Ac3Tl4
1.0
4.917 -2.841 0.000
4.917 2.841 0.000
-0.075 0.000 10.905
Na Ac Tl
2 3 4
Direct
0.169 0.169 0.425
0.831 0.831 0.575
0.165 0.165 0.772
0.500 0.500 0.000
0.835 0.835 0.228
0.168 0.168 0.113
0.497 0.497 0.646
0.503 0.503 0.354
0.832 0.832 0.887
```

M_tot, μB/atom: 0.00
Energy of formation, eV per atom: -0.22
Crystal system: monoclinic
Polymorph energy (0 for the lowest one), meV/atom: 3
Fermi-level density of states, states/eV per cell: 7.98

=====

No. 14
Compound: NaAuSe2
Source: Alexandria
Functional: PBE
Structure: relaxed

```
NaAuSe2
1.0
0.000 3.467 3.467
3.467 0.000 3.467
3.467 3.467 0.000
Na Au Se
1 1 2
Direct
0.000 0.000 0.000
0.500 0.500 0.500
0.250 0.250 0.250
0.750 0.750 0.750
```

M_tot, μB/atom: 0.00
Crystal system: cubic
Fermi-level density of states, states/eV per cell: 4.37
Energy relative to the elements, uncorrected, eV/atom: -0.041

=====

No. 15
Compound: Tl2AsCl
Source: Alexandria
Functional: PBE
Structure: relaxed

```
Tl2AsCl
1.0
-3.288 3.288 7.258
3.288 -3.288 7.258
3.288 3.288 -7.258
Tl As Cl
4 2 2
Direct
0.100 0.625 0.975
0.375 0.350 0.475
0.650 0.125 0.025
0.875 0.900 0.525
0.000 0.000 0.000
0.750 0.250 0.500
0.250 0.750 0.500
0.500 0.500 0.000
```

M_tot, μB/atom: 0.00
Crystal system: tetragonal
Polymorph energy (0 for the lowest one), meV/atom: 177
Fermi-level density of states, states/eV per cell: 5.94
Energy relative to the elements, uncorrected, eV/atom: -0.157

=====

No. 16
Compound: YCd3B
Source: Alexandria
Functional: PBE
Structure: relaxed

```
YCd3B
1.0
4.718 0.000 0.000
0.000 4.718 0.000
0.000 0.000 4.718
Y Cd B
1 3 1
Direct
0.000 0.000 0.000
0.000 0.500 0.500
0.500 0.000 0.500
0.500 0.500 0.000
0.500 0.500 0.500
```

M_tot, μB/atom: 0.00
Energy of formation, eV per atom: 0.37
Crystal system: cubic
Polymorph energy (0 for the lowest one), meV/atom: 0
Fermi-level density of states, states/eV per cell: 3.91

=====

No. 17
Compound: NaErAg2I6
Source: Alexandria
Functional: PBE
Structure: relaxed

```
NaErAg2I6
1.0
3.858 2.227 7.096
-3.858 2.227 7.096
0.000 -4.454 7.096
Na Er Ag I
1 1 2 6
Direct
0.000 0.000 0.000
0.493 0.493 0.493
0.312 0.312 0.312
0.819 0.819 0.819
0.087 0.709 0.427
0.237 0.576 0.899
0.427 0.087 0.709
0.576 0.899 0.237
0.709 0.427 0.087
0.899 0.237 0.576
```

M_tot, μB/atom: 0.00
Crystal system: trigonal
Fermi-level density of states, states/eV per cell: 0.00
Energy relative to the elements, uncorrected, eV/atom: -0.852

=====

No. 18
Compound: LaTlFe2
Source: Alexandria
Functional: PBE
Structure: relaxed

```
LaTlFe2
1.0
0.000 3.501 3.501
3.501 0.000 3.501
3.501 3.501 0.000
La Tl Fe
1 1 2
Direct
0.000 0.000 0.000
0.250 0.250 0.250
0.500 0.500 0.500
0.750 0.750 0.750
```

M_tot, μB/atom: 1.40
Energy of formation, eV per atom: 0.47
Crystal system: cubic
Polymorph energy (0 for the lowest one), meV/atom: 291
Fermi-level density of states, states/eV per cell: 6.98

=====

No. 19
Compound: TiV2Rh
Source: Alexandria
Functional: PBE
Structure: relaxed

```
TiV2Rh
1.0
0.000 3.042 3.042
3.042 0.000 3.042
3.042 3.042 0.000
Ti V Rh
1 2 1
Direct
0.000 0.000 0.000
0.500 0.500 0.500
0.750 0.750 0.750
0.250 0.250 0.250
```

M_tot, μB/atom: 0.00
Energy of formation, eV per atom: -0.32
Crystal system: cubic
Fermi-level density of states, states/eV per cell: 3.81

=====

No. 20
Compound: Tl2AgOs
Source: Alexandria
Functional: PBE
Structure: relaxed

```
Tl2AgOs
1.0
-1.512 2.308 6.381
1.512 -2.308 6.381
1.512 2.308 -6.381
Tl Ag Os
2 1 1
Direct
0.000 0.000 0.000
0.708 0.208 0.500
0.324 0.824 0.500
0.513 0.513 0.000
```

M_tot, μB/atom: 0.04
Energy of formation, eV per atom: 0.65
Crystal system: orthorhombic
Polymorph energy (0 for the lowest one), meV/atom: 0
Fermi-level density of states, states/eV per cell: 1.84